The following is a DFT calculation (PBE-GGA) of KIr2Au after structural relaxation.

a b c (Å): 2.7832 3.8690 7.8800
angles (deg): 90.00 90.14 90.00
Fractional positions:
K  0.0000  0.0000  0.0000
Ir  0.0043  0.0000  0.5510
Ir  0.5056  0.5000  0.6702
Au  0.5005  0.5000  0.3086

Results
- distance to the lowest polymorph of the same formula (meV per atom) = 0
- symmetry = Pm (6)

The following is a DFT calculation (PBE-GGA) of La8Ga2Sb after structural relaxation.

a b c (Å): 9.2679 9.2679 8.2586
angles (deg): 110.19 110.19 31.05
Fractional positions:
La  0.0530  0.0530  0.2420
La  0.1631  0.1631  0.7541
La  0.3283  0.3283  0.5730
La  0.3912  0.3912  0.0601
La  0.6088  0.6088  0.9399
La  0.6717  0.6717  0.4270
La  0.8369  0.8369  0.2459
La  0.9470  0.9470  0.7580
Ga  0.2168  0.2168  0.1766
Ga  0.7832  0.7832  0.8234
Sb  0.5000  0.5000  0.5000

Results
- uncorrected formation energy (eV/atom) = -0.412
- symmetry = C2/m (12)

The following is a DFT calculation (PBE-GGA) of NpTcGeMo after structural relaxation.

a b c (Å): 4.5736 4.5736 4.5736
angles (deg): 60.00 60.00 60.00
Fractional positions:
Np  0.0000  0.0000  0.0000
Tc  0.2500  0.2500  0.2500
Ge  0.5000  0.5000  0.5000
Mo  0.7500  0.7500  0.7500

Results
- symmetry = F-43m (216)
- E (eV/atom) = -9.603

The following is a DFT calculation (PBE-GGA) of La3PbN after structural relaxation.

a b c (Å): 6.9960 6.8732 7.0049
angles (deg): 90.00 119.20 90.00
Fractional positions:
La  0.2362  0.0003  0.2373
La  0.2362  0.4997  0.2373
La  0.2460  0.2500  0.7562
La  0.7540  0.7500  0.2438
La  0.7638  0.9997  0.7627
La  0.7638  0.5003  0.7627
Pb  0.2646  0.7500  0.7345
Pb  0.7354  0.2500  0.2655
N  0.0543  0.2500  0.9455
N  0.9457  0.7500  0.0545

Results
- uncorrected formation energy (eV/atom) = -0.819
- symmetry = P2_1/m (11)

The following is a DFT calculation (PBE-GGA) of CeTmPa2 after structural relaxation.

a b c (Å): 3.1852 3.1852 10.2082
angles (deg): 90.00 90.00 90.00
Fractional positions:
Ce  0.0000  0.0000  0.0000
Tm  0.0000  0.0000  0.5000
Pa  0.5000  0.5000  0.2436
Pa  0.5000  0.5000  0.7564

Results
- distance to the lowest polymorph of the same formula (meV per atom) = 0
- symmetry = P4/mmm (123)

The following is a DFT calculation (PBE-GGA) of Hf4MnRu5 after structural relaxation.

a b c (Å): 3.2214 3.2214 15.8564
angles (deg): 90.00 90.00 90.00
Fractional positions:
Hf  0.0000  0.0000  0.1036
Hf  0.0000  0.0000  0.3109
Hf  0.0000  0.0000  0.6891
Hf  0.0000  0.0000  0.8964
Mn  0.0000  0.0000  0.5000
Ru  0.5000  0.5000  0.0000
Ru  0.5000  0.5000  0.2043
Ru  0.5000  0.5000  0.4083
Ru  0.5000  0.5000  0.5917
Ru  0.5000  0.5000  0.7957

Results
- symmetry = P4/mmm (123)
- E (eV/atom) = -10.158

The following is a DFT calculation (PBE-GGA) of TbSi2Ni after structural relaxation.

a b c (Å): 4.0220 3.9777 8.4594
angles (deg): 90.00 103.74 90.00
Fractional positions:
Tb  0.1054  0.2500  0.2106
Tb  0.8946  0.7500  0.7894
Si  0.2507  0.7500  0.4997
Si  0.4601  0.2500  0.9191
Si  0.5399  0.7500  0.0809
Si  0.7493  0.2500  0.5003
Ni  0.3206  0.2500  0.6432
Ni  0.6794  0.7500  0.3568

Results
- uncorrected formation energy (eV/atom) = -0.845
- symmetry = P2_1/m (11)

The following is a DFT calculation (PBE-GGA) of Zr2TlPW after structural relaxation.

a b c (Å): 5.3344 5.3344 4.6443
angles (deg): 90.00 90.00 90.00
Fractional positions:
Zr  0.0000  0.5000  0.0000
Zr  0.5000  0.0000  0.0000
Tl  0.0000  0.0000  0.0000
P  0.0000  0.0000  0.5000
W  0.5000  0.5000  0.5000

Results
- symmetry = P4/mmm (123)
- E (eV/atom) = -5.550

The following is a DFT calculation (PBE-GGA) of SbH2ClF after structural relaxation.

a b c (Å): 3.7905 3.7905 5.6409
angles (deg): 90.00 90.00 90.00
Fractional positions:
Sb  0.0000  0.0000  0.0000
H  0.0000  0.5000  0.5000
H  0.5000  0.0000  0.5000
Cl  0.5000  0.5000  0.0000
F  0.5000  0.5000  0.5000

Results
- symmetry = P4/mmm (123)
- E (eV/atom) = -2.324